(1)
Computed, not measured: PrDyTh2Bi5 after structural relaxation at the GGA-PBE level of DFT.

Geometry as extended XYZ:
```
9
Lattice="5.569 0.000 0.000 0.000 5.569 0.000 0.000 0.000 11.794" Properties=species:S:1:pos:R:3 pbc="T T T"
Pr 0.000 0.000 0.000
Dy 0.000 0.000 5.897
Th 2.784 2.784 2.341
Th 2.784 2.784 9.453
Bi 0.000 0.000 3.019
Bi 0.000 0.000 8.775
Bi 0.000 2.784 0.000
Bi 2.784 0.000 0.000
Bi 2.784 2.784 5.897
```

The space group is P4/mmm, No. 123. Its formation energy from the elements is 0.195 eV/atom. The calculation puts the density of states at the Fermi level at 0.573 states/eV per atom. The energy is -4.653 eV per atom.



(2)
Computed, not measured: ScSbN3 after structural relaxation at the GGA-PBE level of DFT.

Geometry as extended XYZ:
```
5
Lattice="3.984 0.000 0.000 0.000 3.984 0.000 0.000 0.000 3.984" Properties=species:S:1:pos:R:3 pbc="T T T"
Sc 0.000 0.000 0.000
Sb 1.992 1.992 1.992
N 0.000 1.992 1.992
N 1.992 0.000 1.992
N 1.992 1.992 0.000
```

The space group is Pm-3m, No. 221. The raw formation energy is 0.5172 eV per atom. The calculation puts the density of states at the Fermi level at 0.390 states/eV per atom. The energy is -6.569 eV per atom.



(3)
Computed, not measured: BaCrTe2 after structural relaxation at the GGA-PBE level of DFT.

Geometry as extended XYZ:
```
4
Lattice="4.646 0.000 0.000 0.000 5.514 0.000 0.000 0.000 5.514" Properties=species:S:1:pos:R:3 pbc="T T T"
Ba 0.000 0.000 0.000
Cr 1.952 2.757 2.764
Te 2.319 0.000 2.757
Te 2.319 2.757 0.005
```

The space group is Pm, No. 6. The raw formation energy is -0.7140 eV per atom. The calculation puts the density of states at the Fermi level at 0.573 states/eV per atom. The energy is -5.171 eV per atom.



(4)
Computed, not measured: In4PtRh after structural relaxation at the GGA-PBE level of DFT.

Geometry as extended XYZ:
```
6
Lattice="4.539 0.000 0.000 0.000 4.539 0.000 0.000 0.000 6.431" Properties=species:S:1:pos:R:3 pbc="T T T"
In 0.000 2.269 1.575
In 0.000 2.269 4.856
In 2.269 0.000 1.575
In 2.269 0.000 4.856
Pt 0.000 0.000 3.216
Rh 2.269 2.269 0.000
```

The space group is P4/mmm, No. 123. Its formation energy from the elements is -0.388 eV/atom. The calculation puts the density of states at the Fermi level at 0.586 states/eV per atom. Its excess energy over the best structure of this formula in the dataset is 0.000 eV/atom. The energy is -4.446 eV per atom.